# 1
# PBE Zn4Ga3, relaxed
# Size of the total moment ... 0.000 μB per formula unit
# Calculated formation energy ... 0.147 eV/atom
# Relative energy among the computed polymorphs ... 0.098 eV/atom
data_Zn4Ga3
_chemical_formula_sum 'Zn4 Ga3'
_cell_length_a 5.2630
_cell_length_b 5.2630
_cell_length_c 5.2023
_cell_angle_alpha 90.00
_cell_angle_beta 90.00
_cell_angle_gamma 120.00
_symmetry_space_group_name_H-M 'P 6/m m m'
_symmetry_Int_Tables_number 191
_symmetry_space_group_name_Hall '-P 6 2'
loop_
_atom_site_label
_atom_site_fract_x
_atom_site_fract_y
_atom_site_fract_z
Zn1 0.0000 0.0000 0.2362
Zn2 0.3333 0.6667 0.0000
Ga1 0.0000 0.5000 0.5000

# 2
# PBE Zn3Ga13, relaxed
# Size of the total moment ... 0.000 μB per formula unit
# Calculated formation energy ... 0.034 eV/atom
data_Zn3Ga13
_chemical_formula_sum 'Zn6 Ga26'
_cell_length_a 10.7340
_cell_length_b 10.0436
_cell_length_c 5.6437
_cell_angle_alpha 90.00
_cell_angle_beta 105.10
_cell_angle_gamma 90.00
_symmetry_space_group_name_H-M 'C 1 m 1'
_symmetry_Int_Tables_number 8
loop_
_symmetry_equiv_pos_as_xyz
'x,y,z'
'x,-y,z'
'x+1/2,y+1/2,z'
'x+1/2,-y+1/2,z'
loop_
_atom_site_label
_atom_site_fract_x
_atom_site_fract_y
_atom_site_fract_z
Zn1 0.0000 0.0000 0.0000
Zn2 0.0012 0.0000 0.5141
Zn3 0.2250 0.0000 0.3655
Ga1 0.0186 0.5000 0.0078
Ga2 0.1879 0.2379 0.1017
Ga3 0.1901 0.2375 0.6007
Ga4 0.2535 0.0000 0.8792
Ga5 0.2642 0.5000 0.6442
Ga6 0.2801 0.5000 0.1526
Ga7 0.4491 0.2516 0.2372
Ga8 0.4518 0.2536 0.7374
Ga9 0.4855 0.0000 0.4934

# 3
# PBE Zn3Ga, relaxed
# Size of the total moment ... 0.000 μB per formula unit
# Calculated formation energy ... 0.098 eV/atom
data_Zn3Ga
_chemical_formula_sum 'Zn3 Ga1'
_cell_length_a 2.9690
_cell_length_b 4.4499
_cell_length_c 5.1955
_cell_angle_alpha 90.00
_cell_angle_beta 90.00
_cell_angle_gamma 90.00
_symmetry_space_group_name_H-M 'P m m m'
_symmetry_Int_Tables_number 47
loop_
_symmetry_equiv_pos_as_xyz
'x,y,z'
'-x,-y,-z'
'-x,-y,z'
'x,y,-z'
'x,-y,-z'
'-x,y,z'
'-x,y,-z'
'x,-y,z'
loop_
_atom_site_label
_atom_site_fract_x
_atom_site_fract_y
_atom_site_fract_z
Zn1 0.0000 0.0000 0.0000
Zn2 0.0000 0.5000 0.2533
Ga1 0.5000 0.0000 0.5000

# 4
# PBE ZnGa, relaxed
# Size of the total moment ... 0.000 μB per formula unit
# Calculated formation energy ... 0.139 eV/atom
data_ZnGa
_chemical_formula_sum 'Zn4 Ga4'
_cell_length_a 5.2839
_cell_length_b 5.2839
_cell_length_c 5.3567
_cell_angle_alpha 90.00
_cell_angle_beta 90.00
_cell_angle_gamma 90.00
_symmetry_space_group_name_H-M 'P 42/m n m'
_symmetry_Int_Tables_number 136
_symmetry_space_group_name_Hall '-P 4n 2n'
loop_
_atom_site_label
_atom_site_fract_x
_atom_site_fract_y
_atom_site_fract_z
Zn1 0.1886 0.1886 0.0000
Ga1 0.1916 0.1916 0.5000

# 5
# PBE ZnGa5, relaxed
# Size of the total moment ... 0.000 μB per formula unit
# Calculated formation energy ... 0.168 eV/atom
# Relative energy among the computed polymorphs ... 0.150 eV/atom
data_ZnGa5
_chemical_formula_sum 'Zn1 Ga5'
_cell_length_a 5.2301
_cell_length_b 5.2301
_cell_length_c 5.1617
_cell_angle_alpha 90.00
_cell_angle_beta 90.00
_cell_angle_gamma 120.00
_symmetry_space_group_name_H-M 'P 6/m m m'
_symmetry_Int_Tables_number 191
_symmetry_space_group_name_Hall '-P 6 2'
loop_
_atom_site_label
_atom_site_fract_x
_atom_site_fract_y
_atom_site_fract_z
Zn1 0.0000 0.0000 0.0000
Ga1 0.0000 0.5000 0.5000
Ga2 0.3333 0.6667 0.0000

# 6
# PBE ZnGa, relaxed
# Size of the total moment ... 0.000 μB per formula unit
# Calculated formation energy ... 0.233 eV/atom
data_ZnGa
_chemical_formula_sum 'Zn2 Ga2'
_cell_length_a 4.5255
_cell_length_b 4.5255
_cell_length_c 5.1169
_cell_angle_alpha 90.00
_cell_angle_beta 90.00
_cell_angle_gamma 120.00
_symmetry_space_group_name_H-M 'P 63/m m c'
_symmetry_Int_Tables_number 194
_symmetry_space_group_name_Hall '-P 6c 2c'
loop_
_atom_site_label
_atom_site_fract_x
_atom_site_fract_y
_atom_site_fract_z
Zn1 0.3333 0.6667 0.2500
Ga1 0.3333 0.6667 0.7500

# 7
# PBE Zn2Ga5, relaxed
# Size of the total moment ... 0.000 μB per formula unit
# Calculated formation energy ... 0.034 eV/atom
# Relative energy among the computed polymorphs ... 0.000 eV/atom
data_Zn2Ga5
_chemical_formula_sum 'Zn8 Ga20'
_cell_length_a 13.4419
_cell_length_b 3.1719
_cell_length_c 12.5536
_cell_angle_alpha 90.00
_cell_angle_beta 111.05
_cell_angle_gamma 90.00
_symmetry_space_group_name_H-M 'C 1 2/c 1'
_symmetry_Int_Tables_number 15
loop_
_symmetry_equiv_pos_as_xyz
'x,y,z'
'-x,-y,-z'
'-x,y,-z+1/2'
'x,-y,z+1/2'
'x+1/2,y+1/2,z'
'-x+1/2,-y+1/2,-z'
'-x+1/2,y+1/2,-z+1/2'
'x+1/2,-y+1/2,z+1/2'
loop_
_atom_site_label
_atom_site_fract_x
_atom_site_fract_y
_atom_site_fract_z
Zn1 0.0684 0.0860 0.1082
Ga1 0.0000 0.4363 0.7500
Ga2 0.1408 0.3879 0.4711
Ga3 0.2124 0.1321 0.8208

# 8
# PBE ZnGa, relaxed
# Size of the total moment ... 0.000 μB per formula unit
# Calculated formation energy ... 0.418 eV/atom
data_ZnGa
_chemical_formula_sum 'Zn4 Ga4'
_cell_length_a 5.8365
_cell_length_b 5.8365
_cell_length_c 5.8365
_cell_angle_alpha 90.00
_cell_angle_beta 90.00
_cell_angle_gamma 90.00
_symmetry_space_group_name_H-M 'F -4 3 m'
_symmetry_Int_Tables_number 216
_symmetry_space_group_name_Hall 'F -4 2 3'
loop_
_atom_site_label
_atom_site_fract_x
_atom_site_fract_y
_atom_site_fract_z
Zn1 0.0000 0.0000 0.0000
Ga1 0.2500 0.2500 0.7500

# 9
# PBE Zn2Ga5, relaxed
# Size of the total moment ... 0.000 μB per formula unit
# Calculated formation energy ... 0.071 eV/atom
# Relative energy among the computed polymorphs ... 0.037 eV/atom
data_Zn2Ga5
_chemical_formula_sum 'Zn6 Ga15'
_cell_length_a 4.8181
_cell_length_b 4.8181
_cell_length_c 19.1202
_cell_angle_alpha 90.00
_cell_angle_beta 90.00
_cell_angle_gamma 120.00
_symmetry_space_group_name_H-M 'R -3 m'
_symmetry_Int_Tables_number 166
_symmetry_space_group_name_Hall '-R 3 2"'
loop_
_atom_site_label
_atom_site_fract_x
_atom_site_fract_y
_atom_site_fract_z
Zn1 0.0000 0.0000 0.1427
Ga1 0.0000 0.0000 0.0000
Ga2 0.0000 0.0000 0.2848
Ga3 0.0000 0.0000 0.4278

# 10
# PBE Zn3Ga2, relaxed
# Size of the total moment ... 0.000 μB per formula unit
# Calculated formation energy ... 0.032 eV/atom
data_Zn3Ga2
_chemical_formula_sum 'Zn9 Ga6'
_cell_length_a 2.9491
_cell_length_b 2.9491
_cell_length_c 33.0250
_cell_angle_alpha 90.00
_cell_angle_beta 90.00
_cell_angle_gamma 120.00
_symmetry_space_group_name_H-M 'R -3 m'
_symmetry_Int_Tables_number 166
_symmetry_space_group_name_Hall '-R 3 2"'
loop_
_atom_site_label
_atom_site_fract_x
_atom_site_fract_y
_atom_site_fract_z
Zn1 0.0000 0.0000 0.0000
Zn2 0.0000 0.0000 0.3971
Ga1 0.0000 0.0000 0.2028

# 11
# PBE ZnGa, relaxed
# Size of the total moment ... 0.000 μB per formula unit
# Calculated formation energy ... 0.098 eV/atom
data_ZnGa
_chemical_formula_sum 'Zn8 Ga8'
_cell_length_a 8.6443
_cell_length_b 8.6443
_cell_length_c 4.1219
_cell_angle_alpha 90.00
_cell_angle_beta 90.00
_cell_angle_gamma 90.00
_symmetry_space_group_name_H-M 'I 4/m'
_symmetry_Int_Tables_number 87
_symmetry_space_group_name_Hall '-I 4'
loop_
_atom_site_label
_atom_site_fract_x
_atom_site_fract_y
_atom_site_fract_z
Zn1 0.0865 0.3777 0.0000
Ga1 0.1185 0.1905 0.5000

# 12
# PBE Zn5Ga4, relaxed
# Size of the total moment ... 0.000 μB per formula unit
# Calculated formation energy ... 0.083 eV/atom
# Relative energy among the computed polymorphs ... 0.020 eV/atom
data_Zn5Ga4
_chemical_formula_sum 'Zn10 Ga8'
_cell_length_a 2.6324
_cell_length_b 19.6533
_cell_length_c 6.8001
_cell_angle_alpha 90.00
_cell_angle_beta 97.99
_cell_angle_gamma 90.00
_symmetry_space_group_name_H-M 'C 1 2/m 1'
_symmetry_Int_Tables_number 12
loop_
_symmetry_equiv_pos_as_xyz
'x,y,z'
'-x,-y,-z'
'-x,y,-z'
'x,-y,z'
'x+1/2,y+1/2,z'
'-x+1/2,-y+1/2,-z'
'-x+1/2,y+1/2,-z'
'x+1/2,-y+1/2,z'
loop_
_atom_site_label
_atom_site_fract_x
_atom_site_fract_y
_atom_site_fract_z
Zn1 0.0000 0.0000 0.0000
Zn2 0.0000 0.3085 0.0000
Zn3 0.1583 0.5000 0.3302
Ga1 0.1358 0.1288 0.3099